Entry 1:
# PBE Ta5Mo2, relaxed
data_Ta5Mo2
_cell_length_a 4.6730
_cell_length_b 4.6730
_cell_length_c 19.4034
_cell_angle_alpha 90.00
_cell_angle_beta 90.00
_cell_angle_gamma 120.00
_space_group_name_H-M_alt 'R -3 m'
_space_group_IT_number 166
_space_group_name_Hall '-R 3 2"'
loop_
_atom_site_label
_atom_site_fract_x
_atom_site_fract_y
_atom_site_fract_z
_atom_site_occupancy
Ta1 0.0000 0.0000 0.0000 1
Ta2 0.0000 0.0000 0.2842 1
Ta3 0.0000 0.0000 0.4290 1
Mo1 0.0000 0.0000 0.1434 1
# ΔE_f, eV per atom: -0.05
# Magnetization, μB per formula unit: 0.0
# Final energy, eV for the cell shown: -243.84
# Distance to the lowest polymorph of the same formula, eV per atom: 0.088
# Crystal system: trigonal
# DOS at the Fermi energy, states/eV per cell: 26.5


Entry 2:
# PBE Ba2In12Ni3Hg, relaxed
data_Ba2In12Ni3Hg
_cell_length_a 9.6080
_cell_length_b 9.6080
_cell_length_c 20.6196
_cell_angle_alpha 90.00
_cell_angle_beta 90.00
_cell_angle_gamma 120.00
_space_group_name_H-M_alt 'R -3 m'
_space_group_IT_number 166
_space_group_name_Hall '-R 3 2"'
loop_
_atom_site_label
_atom_site_fract_x
_atom_site_fract_y
_atom_site_fract_z
_atom_site_occupancy
Ba1 0.0000 0.0000 0.0959 1
In1 0.0161 0.5081 0.8759 1
In2 0.0921 0.5460 0.3225 1
Ni1 0.0000 0.5000 0.0000 1
Hg1 0.0000 0.0000 0.5000 1
# ΔE_f, eV per atom: -0.04
# Magnetization, μB per formula unit: 0.0
# Final energy, eV for the cell shown: -165.46
# Crystal system: trigonal
# DOS at the Fermi energy, states/eV per cell: 28.7


Entry 3:
# PBE YAsP2, relaxed
data_YAsP2
_cell_length_a 4.5341
_cell_length_b 4.5341
_cell_length_c 3.6940
_cell_angle_alpha 90.00
_cell_angle_beta 90.00
_cell_angle_gamma 90.00
_space_group_name_H-M_alt 'P 4/m m m'
_space_group_IT_number 123
_space_group_name_Hall '-P 4 2'
loop_
_atom_site_label
_atom_site_fract_x
_atom_site_fract_y
_atom_site_fract_z
_atom_site_occupancy
Y1 0.0000 0.0000 0.0000 1
As1 0.5000 0.5000 0.0000 1
P1 0.0000 0.5000 0.5000 1
# ΔE_f, eV per atom: -0.39
# Magnetization, μB per formula unit: 0.0
# Final energy, eV for the cell shown: -23.51
# Crystal system: tetragonal
# DOS at the Fermi energy, states/eV per cell: 1.4


Entry 4:
# PBE AcMg2SiAu2, relaxed
data_AcMg2SiAu2
_cell_length_a 4.5005
_cell_length_b 4.5005
_cell_length_c 15.6162
_cell_angle_alpha 90.00
_cell_angle_beta 90.00
_cell_angle_gamma 90.00
_space_group_name_H-M_alt 'I 4/m m m'
_space_group_IT_number 139
_space_group_name_Hall '-I 4 2'
loop_
_atom_site_label
_atom_site_fract_x
_atom_site_fract_y
_atom_site_fract_z
_atom_site_occupancy
Ac1 0.0000 0.0000 0.0000 1
Mg1 0.0000 0.5000 0.2500 1
Si1 0.0000 0.0000 0.5000 1
Au1 0.0000 0.0000 0.3480 1
# Raw formation energy, meV per atom: -426.7
# Magnetization, μB per formula unit: 0.0
# Final energy, eV for the cell shown: -43.67
# Crystal system: tetragonal
# DOS at the Fermi energy, states/eV per cell: 5.2


Entry 5:
# PBE Hg2MoPb, relaxed
data_Hg2MoPb
_cell_length_a 4.1571
_cell_length_b 4.1571
_cell_length_c 10.0994
_cell_angle_alpha 90.00
_cell_angle_beta 90.00
_cell_angle_gamma 90.00
_space_group_name_H-M_alt 'I 4/m m m'
_space_group_IT_number 139
_space_group_name_Hall '-I 4 2'
loop_
_atom_site_label
_atom_site_fract_x
_atom_site_fract_y
_atom_site_fract_z
_atom_site_occupancy
Hg1 0.0000 0.5000 0.2500 1
Mo1 0.0000 0.0000 0.0000 1
Pb1 0.0000 0.0000 0.5000 1
# ΔE_f, eV per atom: 0.63
# Magnetization, μB per formula unit: 1.7
# Final energy, eV for the cell shown: -25.25
# Crystal system: tetragonal
# DOS at the Fermi energy, states/eV per cell: 2.8


Entry 6:
# PBE Li3BeP2, relaxed
data_Li3BeP2
_cell_length_a 5.1824
_cell_length_b 12.6444
_cell_length_c 5.1077
_cell_angle_alpha 90.00
_cell_angle_beta 90.00
_cell_angle_gamma 90.00
_space_group_name_H-M_alt 'I b a m'
_space_group_IT_number 72
_space_group_name_Hall '-I 2 2c'
loop_
_atom_site_label
_atom_site_fract_x
_atom_site_fract_y
_atom_site_fract_z
_atom_site_occupancy
Li1 0.0000 0.0000 0.2500 1
Li2 0.2315 0.1809 0.0000 1
Be1 0.0000 0.5000 0.2500 1
P1 0.2165 0.3840 0.0000 1
# ΔE_f, eV per atom: -0.51
# Magnetization, μB per formula unit: 0.0
# Final energy, eV for the cell shown: -93.28
# Crystal system: orthorhombic
# DOS at the Fermi energy, states/eV per cell: 7.0


DOS at the Fermi energy of number 3 (YAsP2)?
1.4 states/eV per cell